Record 1
Entry from Alexandria: a relaxed Bi6IrPt2 crystal (GGA-PBE).

Results
Energy in eV per cell: -89.68

Lattice parameters (Å, degrees): 7.280 6.722 9.553 90.00 89.94 90.00
Atoms (fractional coordinates):
Bi  0.856  0.028  0.234
Bi  0.817  0.661  0.587
Bi  0.837  0.670  0.937
Bi  0.663  0.170  0.563
Bi  0.683  0.161  0.913
Bi  0.644  0.528  0.266
Bi  0.144  0.972  0.766
Bi  0.183  0.339  0.413
Bi  0.163  0.330  0.063
Bi  0.337  0.830  0.437
Bi  0.317  0.839  0.087
Bi  0.356  0.472  0.734
Ir  0.500  0.500  0.000
Ir  0.000  0.000  0.500
Pt  0.982  0.354  0.766
Pt  0.518  0.854  0.734
Pt  0.482  0.146  0.266
Pt  0.018  0.646  0.234

---

Record 2
Entry from Alexandria: a relaxed Bi6Ir2Pt crystal (GGA-PBE).

Results
Energy in eV per cell: -93.59

Lattice parameters (Å, degrees): 6.789 6.655 10.470 90.00 87.21 90.00
Atoms (fractional coordinates):
Bi  0.857  0.036  0.252
Bi  0.795  0.632  0.554
Bi  0.866  0.618  0.878
Bi  0.634  0.118  0.622
Bi  0.705  0.132  0.946
Bi  0.643  0.536  0.248
Bi  0.143  0.964  0.748
Bi  0.205  0.368  0.446
Bi  0.134  0.382  0.122
Bi  0.366  0.882  0.378
Bi  0.295  0.868  0.054
Bi  0.357  0.464  0.752
Ir  0.985  0.334  0.692
Ir  0.515  0.834  0.808
Ir  0.485  0.166  0.192
Ir  0.015  0.666  0.308
Pt  0.500  0.500  0.000
Pt  0.000  0.000  0.500

---

Record 3
Entry from Alexandria: a relaxed Bi4IrPt crystal (GGA-PBE).

Results
Energy in eV per cell: -60.19
Polymorph energy (0 for the lowest one) in eV per atom: 0.118

Lattice parameters (Å, degrees): 7.682 7.682 7.682 108.71 108.71 111.01
Atoms (fractional coordinates):
Bi  0.246  0.944  0.698
Bi  0.754  0.449  0.695
Bi  0.694  0.496  0.198
Bi  0.199  0.004  0.195
Bi  0.297  0.496  0.802
Bi  0.809  0.004  0.805
Bi  0.754  0.059  0.305
Bi  0.246  0.547  0.302
Ir  0.253  0.253  0.000
Ir  0.003  0.503  0.500
Pt  0.748  0.748  0.000
Pt  0.498  0.998  0.500

---

Record 4
Entry from Alexandria: a relaxed BiIrPt3 crystal (GGA-PBE).

Results
Energy in eV per cell: -21.60
Polymorph energy (0 for the lowest one) in eV per atom: 0.907

Lattice parameters (Å, degrees): 4.991 4.991 4.991 90.00 90.00 90.00
Atoms (fractional coordinates):
Ir  0.500  0.500  0.500
Bi  0.000  0.000  0.000
Pt  0.000  0.500  0.000
Pt  0.000  0.000  0.500
Pt  0.500  0.000  0.000

---

Record 5
Entry from Alexandria: a relaxed Bi4IrPt crystal (GGA-PBE).

Results
Energy in eV per cell: -30.80
Polymorph energy (0 for the lowest one) in eV per atom: 0.000

Lattice parameters (Å, degrees): 3.951 5.895 6.940 89.99 90.00 90.00
Atoms (fractional coordinates):
Bi  0.000  0.269  0.327
Bi  0.500  0.734  0.162
Bi  0.500  0.266  0.838
Bi  0.000  0.731  0.673
Ir  0.000  0.000  0.000
Pt  0.500  0.000  0.500

---

Record 6
Entry from Alexandria: a relaxed Bi2IrPt2 crystal (GGA-PBE).

Results
Energy in eV per cell: -24.72
Polymorph energy (0 for the lowest one) in eV per atom: 0.601

Lattice parameters (Å, degrees): 4.610 4.610 6.427 68.98 68.98 90.00
Atoms (fractional coordinates):
Ir  0.000  0.000  0.000
Bi  0.750  0.250  0.500
Bi  0.250  0.750  0.500
Pt  0.386  0.386  0.228
Pt  0.614  0.614  0.772

---

Record 7
Entry from Alexandria: a relaxed BiIrPt crystal (GGA-PBE).

Results
Energy in eV per cell: -36.58

Lattice parameters (Å, degrees): 4.167 4.164 8.460 90.00 90.00 120.02
Atoms (fractional coordinates):
Pt  0.500  0.000  0.000
Pt  0.167  0.334  0.500
Bi  0.833  0.666  0.700
Bi  0.833  0.666  0.300
Ir  0.167  0.333  0.847
Ir  0.167  0.333  0.153

---

Record 8
Entry from Alexandria: a relaxed Bi2IrPt2 crystal (GGA-PBE).

Results
Energy in eV per cell: -55.44
Polymorph energy (0 for the lowest one) in eV per atom: 0.000

Lattice parameters (Å, degrees): 7.142 7.142 4.085 90.00 90.00 90.00
Atoms (fractional coordinates):
Ir  0.000  0.000  0.000
Ir  0.500  0.500  0.000
Bi  0.176  0.676  0.500
Bi  0.676  0.824  0.500
Bi  0.824  0.324  0.500
Bi  0.324  0.176  0.500
Pt  0.365  0.865  0.000
Pt  0.865  0.635  0.000
Pt  0.635  0.135  0.000
Pt  0.135  0.365  0.000

---

It is found that the energy relative to the elements values, taken in the order of the records, are -58.8; 24.4; 32.0; 893.4; -36.5; 384.9; 47.6; 94.9 kJ/mol of formula units.
It is found that the calculated volume values, taken in the order of the records, are 467.5; 472.5; 348.8; 124.3; 161.6; 117.7; 127.1; 208.4 Å³/cell.